[1]
Nb4Sn3 | PBE-GGA | relaxed

## Properties
ΔH_f (0 K)   -0.143 eV per atom
Crystal system   tetragonal

Lattice parameters (Å, degrees): 10.986 10.986 10.986 161.09 161.09 26.87
Fractional coordinates of all 7 atoms:
Nb1 0.071 0.071 0.000
Nb2 0.362 0.362 0.000
Nb3 0.638 0.638 0.000
Nb4 0.929 0.929 0.000
Sn1 0.209 0.209 0.000
Sn2 0.500 0.500 0.000
Sn3 0.791 0.791 0.000


[2]
Rb3GdF6 | PBE-GGA | relaxed

## Properties
Raw formation energy   -3207 meV per atom
Crystal system   tetragonal

Lattice parameters (Å, degrees): 7.049 7.049 7.049 118.28 118.28 93.00
Fractional coordinates of all 10 atoms:
Rb1 0.000 0.000 0.000
Rb2 0.250 0.750 0.500
Rb3 0.750 0.250 0.500
Gd1 0.500 0.500 0.000
F1 0.193 0.500 0.693
F2 0.267 0.267 0.000
F3 0.500 0.193 0.693
F4 0.500 0.807 0.307
F5 0.733 0.733 0.000
F6 0.807 0.500 0.307


[3]
Zn2OsSe | PBE-GGA | relaxed

## Properties
Raw formation energy   533 meV per atom
Crystal system   cubic

Lattice parameters (Å, degrees): 4.439 4.439 4.439 60.00 60.00 60.00
Fractional coordinates of all 4 atoms:
Zn1 0.000 0.000 0.000
Zn2 0.250 0.250 0.250
Os1 0.500 0.500 0.500
Se1 0.750 0.750 0.750


[4]
TaSiRu | PBE-GGA | relaxed

## Properties
Raw formation energy   -530 meV per atom
Crystal system   hexagonal

Lattice parameters (Å, degrees): 4.212 4.212 2.920 90.00 90.00 120.00
Fractional coordinates of all 3 atoms:
Ta1 0.000 0.000 0.000
Si1 0.333 0.667 0.500
Ru1 0.667 0.333 0.500


[5]
NaAgPb | PBE-GGA | relaxed

## Properties
ΔH_f (0 K)   -0.058 eV per atom
Crystal system   monoclinic

Lattice parameters (Å, degrees): 5.881 5.881 6.017 96.58 96.58 49.57
Fractional coordinates of all 6 atoms:
Na1 0.132 0.132 0.347
Na2 0.868 0.868 0.653
Ag1 0.211 0.211 0.869
Ag2 0.789 0.789 0.131
Pb1 0.433 0.433 0.230
Pb2 0.567 0.567 0.770


[6]
HgAsOs2 | PBE-GGA | relaxed

## Properties
ΔH_f (0 K)   0.681 eV per atom
Crystal system   monoclinic
Excess energy over the best structure of this formula in the dataset   285 meV/atom

Lattice parameters (Å, degrees): 5.419 5.419 5.429 119.55 119.55 31.03
Fractional coordinates of all 4 atoms:
Hg1 0.000 0.000 0.000
As1 0.811 0.811 0.258
Os1 0.247 0.247 0.569
Os2 0.542 0.542 0.572


[7]
Tb11Pr4Y9 | PBE-GGA | relaxed

## Properties
ΔH_f (0 K)   0.056 eV per atom
Crystal system   orthorhombic

Lattice parameters (Å, degrees): 15.201 15.201 3.716 90.00 90.00 112.68
Fractional coordinates of all 24 atoms:
Tb1 0.000 0.000 0.000
Tb2 0.046 0.408 0.000
Tb3 0.159 0.841 0.000
Tb4 0.288 0.288 0.000
Tb5 0.365 0.635 0.000
Tb6 0.408 0.046 0.000
Tb7 0.592 0.954 0.000
Tb8 0.635 0.365 0.000
Tb9 0.712 0.712 0.000
Tb10 0.841 0.159 0.000
Tb11 0.954 0.592 0.000
Pr1 0.245 0.446 0.500
Pr2 0.446 0.245 0.500
Pr3 0.554 0.755 0.500
Pr4 0.755 0.554 0.500
Y1 0.065 0.212 0.500
Y2 0.162 0.635 0.500
Y3 0.212 0.065 0.500
Y4 0.365 0.838 0.500
Y5 0.500 0.500 0.500
Y6 0.635 0.162 0.500
Y7 0.788 0.935 0.500
Y8 0.838 0.365 0.500
Y9 0.935 0.788 0.500


[8]
Mn2SnOsW | PBE-GGA | relaxed

## Properties
ΔH_f (0 K)   1.882 eV per atom
Crystal system   tetragonal

Lattice parameters (Å, degrees): 4.519 4.519 5.127 90.00 90.00 90.00
Fractional coordinates of all 5 atoms:
Mn1 0.000 0.500 0.000
Mn2 0.500 0.000 0.000
Sn1 0.000 0.000 0.500
Os1 0.500 0.500 0.500
W1 0.000 0.000 0.000


[9]
Sc3Zn2Ag | PBE-GGA | relaxed

## Properties
ΔH_f (0 K)   -0.342 eV per atom
Crystal system   tetragonal

Lattice parameters (Å, degrees): 3.387 3.387 10.070 90.00 90.00 90.00
Fractional coordinates of all 6 atoms:
Sc1 0.000 0.000 0.000
Sc2 0.000 0.000 0.326
Sc3 0.000 0.000 0.674
Zn1 0.500 0.500 0.161
Zn2 0.500 0.500 0.839
Ag1 0.500 0.500 0.500


[10]
GeBiBrF2 | PBE-GGA | relaxed

## Properties
Raw formation energy   -1204 meV per atom
Crystal system   tetragonal

Lattice parameters (Å, degrees): 4.467 4.467 6.184 90.00 90.00 90.00
Fractional coordinates of all 5 atoms:
Ge1 0.000 0.000 0.000
Bi1 0.000 0.000 0.500
Br1 0.500 0.500 0.000
F1 0.000 0.500 0.500
F2 0.500 0.000 0.500


[11]
Pm5Bi4Ir | PBE-GGA | relaxed

## Properties
ΔH_f (0 K)   -0.770 eV per atom
Crystal system   tetragonal

Lattice parameters (Å, degrees): 7.780 7.780 7.780 99.86 99.86 131.11
Fractional coordinates of all 10 atoms:
Pm1 0.000 0.000 0.000
Pm2 0.113 0.297 0.626
Pm3 0.297 0.671 0.183
Pm4 0.487 0.113 0.817
Pm5 0.671 0.487 0.374
Bi1 0.191 0.982 0.391
Bi2 0.591 0.800 0.609
Bi3 0.800 0.191 0.210
Bi4 0.982 0.591 0.790
Ir1 0.434 0.434 0.000


[12]
Zr2InSb | PBE-GGA | relaxed

## Properties
Raw formation energy   111 meV per atom
Crystal system   cubic
Excess energy over the best structure of this formula in the dataset   497 meV/atom

Lattice parameters (Å, degrees): 5.123 5.123 5.123 60.00 60.00 60.00
Fractional coordinates of all 4 atoms:
Zr1 0.000 0.000 0.000
Zr2 0.250 0.250 0.250
In1 0.750 0.750 0.750
Sb1 0.500 0.500 0.500


Number 1: V 139 Å³/cell. Number 2: V 254 Å³/cell. Number 3: V 62 Å³/cell. Number 4: V 45 Å³/cell. Number 5: V 157 Å³/cell. Number 6: V 71 Å³/cell. Number 7: V 792 Å³/cell. Number 8: V 105 Å³/cell. Number 9: V 116 Å³/cell. Number 10: V 123 Å³/cell. Number 11: V 323 Å³/cell. Number 12: V 95 Å³/cell.